A plane-wave DFT calculation with SCAN was carried out for a PBEsol-optimized structure of Cu2ReOs.

a = 3.755 Å, b = 3.755 Å, c = 7.300 Å
α = 90.00°, β = 90.00°, γ = 90.00°
Space group I-4m2 (No. 119)
Asymmetric unit:
Cu1 0.000 0.000 0.000 [2 per cell]
Cu2 0.000 0.500 0.250 [2 per cell]
Re1 0.000 0.500 0.750 [2 per cell]
Os1 0.000 0.000 0.500 [2 per cell]

Energy of formation   0.250 eV per atom
Total DFT energy (no corrections)   -43.094 eV per atom
Total moment   0.000 μB/atom